FeReRu2 | GGA-PBE | relaxed

Cell and atoms, written as CIF:
```
data_FeReRu2
_chemical_formula_sum 'Fe2 Re2 Ru4'
_cell_length_a 8.855
_cell_length_b 2.695
_cell_length_c 4.646
_cell_angle_alpha 90.00
_cell_angle_beta 99.76
_cell_angle_gamma 90.00
_space_group_name_H-M_alt 'C 1 2/m 1'
_space_group_IT_number 12
loop_
_space_group_symop_operation_xyz
'x,y,z'
'-x,-y,-z'
'-x,y,-z'
'x,-y,z'
'x+1/2,y+1/2,z'
'-x+1/2,-y+1/2,-z'
'-x+1/2,y+1/2,-z'
'x+1/2,-y+1/2,z'
loop_
_atom_site_label
_atom_site_fract_x
_atom_site_fract_y
_atom_site_fract_z
_atom_site_occupancy
Fe1 0.000 0.000 0.000 1
Re1 0.000 0.500 0.500 1
Ru1 0.250 0.000 0.756 1
```

Output
E_form	0.4	eV/f.u.
E_tot	-9.77	eV/atom

***

Ac2ErMg5 | GGA-PBE | relaxed

Cell and atoms, written as CIF:
```
data_Ac2ErMg5
_chemical_formula_sum 'Ac4 Er2 Mg10'
_cell_length_a 5.408
_cell_length_b 5.408
_cell_length_c 16.270
_cell_angle_alpha 90.00
_cell_angle_beta 90.00
_cell_angle_gamma 90.00
_space_group_name_H-M_alt 'I 4/m m m'
_space_group_IT_number 139
_space_group_name_Hall '-I 4 2'
loop_
_atom_site_label
_atom_site_fract_x
_atom_site_fract_y
_atom_site_fract_z
_atom_site_occupancy
Ac1 0.000 0.000 0.242 1
Er1 0.000 0.000 0.500 1
Mg1 0.000 0.000 0.000 1
Mg2 0.000 0.500 0.105 1
```

Output
E_form	-0.3	eV/f.u.
E_tot	-2.63	eV/atom

***

LiTl3Hg2F9 | GGA-PBE | relaxed

Cell and atoms, written as CIF:
```
data_LiTl3Hg2F9
_chemical_formula_sum 'Li1 Tl3 Hg2 F9'
_cell_length_a 6.1929
_cell_length_b 6.1929
_cell_length_c 7.7486
_cell_angle_alpha 90.00
_cell_angle_beta 90.00
_cell_angle_gamma 120.00
_space_group_name_H-M_alt 'P -3 m 1'
_space_group_IT_number 164
_space_group_name_Hall '-P 3 2"'
loop_
_atom_site_label
_atom_site_fract_x
_atom_site_fract_y
_atom_site_fract_z
_atom_site_occupancy
Li1 0.0000 0.0000 0.0000 1
Tl1 0.0000 0.0000 0.5000 1
Tl2 0.3333 0.6667 0.1402 1
Hg1 0.3333 0.6667 0.6811 1
F1 0.0000 0.5000 0.5000 1
F2 0.1604 0.3208 0.8435 1
```

Output
formation energy from raw total energies	-1.702	eV per atom
E_tot	-3.47	eV/atom

***

CoWSN2 | GGA-PBE | relaxed

Cell and atoms, written as CIF:
```
data_CoWSN2
_chemical_formula_sum 'Co1 W1 S1 N2'
_cell_length_a 3.857
_cell_length_b 3.857
_cell_length_c 5.040
_cell_angle_alpha 90.00
_cell_angle_beta 90.00
_cell_angle_gamma 90.00
_space_group_name_H-M_alt 'P 4/m m m'
_space_group_IT_number 123
_space_group_name_Hall '-P 4 2'
loop_
_atom_site_label
_atom_site_fract_x
_atom_site_fract_y
_atom_site_fract_z
_atom_site_occupancy
Co1 0.000 0.000 0.000 1
W1 0.500 0.500 0.500 1
S1 0.500 0.500 0.000 1
N1 0.000 0.500 0.500 1
```

Output
formation energy from raw total energies	0.620	eV per atom
E_tot	-7.55	eV/atom
E above lowest polymorph	0.000	eV/atom

***

CeSm3N4 | GGA-PBE | relaxed

Cell and atoms, written as CIF:
```
data_CeSm3N4
_chemical_formula_sum 'Ce2 Sm6 N8'
_cell_length_a 7.156
_cell_length_b 10.096
_cell_length_c 3.583
_cell_angle_alpha 90.00
_cell_angle_beta 90.00
_cell_angle_gamma 90.00
_space_group_name_H-M_alt 'C m m m'
_space_group_IT_number 65
_space_group_name_Hall '-C 2 2'
loop_
_atom_site_label
_atom_site_fract_x
_atom_site_fract_y
_atom_site_fract_z
_atom_site_occupancy
Ce1 0.000 0.000 0.000 1
Sm1 0.000 0.500 0.000 1
Sm2 0.250 0.250 0.500 1
N1 0.000 0.245 0.000 1
N2 0.243 0.000 0.500 1
```

Output
formation energy from raw total energies	-1.505	eV per atom
E_tot	-8.18	eV/atom

***

AcNbSbO6 | GGA-PBE | relaxed

Cell and atoms, written as CIF:
```
data_AcNbSbO6
_chemical_formula_sum 'Ac2 Nb2 Sb2 O12'
_cell_length_a 5.144
_cell_length_b 5.144
_cell_length_c 10.251
_cell_angle_alpha 90.00
_cell_angle_beta 90.00
_cell_angle_gamma 90.00
_space_group_name_H-M_alt 'P 42 n m'
_space_group_IT_number 102
loop_
_space_group_symop_operation_xyz
'x,y,z'
'-y+1/2,x+1/2,z+1/2'
'-x,-y,z'
'y+1/2,-x+1/2,z+1/2'
'-x+1/2,y+1/2,z+1/2'
'y,x,z'
'x+1/2,-y+1/2,z+1/2'
'-y,-x,z'
loop_
_atom_site_label
_atom_site_fract_x
_atom_site_fract_y
_atom_site_fract_z
_atom_site_occupancy
Ac1 0.000 0.000 0.000 1
Nb1 0.000 0.000 0.665 1
Sb1 0.000 0.000 0.331 1
O1 0.169 0.169 0.504 1
O2 0.204 0.204 0.803 1
O3 0.223 0.223 0.187 1
```

Output
formation energy from raw total energies	-2.274	eV per atom
E_tot	-7.61	eV/atom

***

LaGa9Pd2 | GGA-PBE | relaxed

Cell and atoms, written as CIF:
```
data_LaGa9Pd2
_chemical_formula_sum 'La4 Ga36 Pd8'
_cell_length_a 10.632
_cell_length_b 10.632
_cell_length_c 7.733
_cell_angle_alpha 90.00
_cell_angle_beta 90.00
_cell_angle_gamma 90.00
_space_group_name_H-M_alt 'I 41/a m d'
_space_group_IT_number 141
loop_
_space_group_symop_operation_xyz
'x,y,z'
'-x,-y,-z'
'-y+1/4,x+3/4,z+1/4'
'y+1/4,-x+3/4,-z+1/4'
'-x+1/2,-y,z+1/2'
'x+1/2,y,-z+1/2'
'y+1/4,-x+1/4,z+3/4'
'-y+1/4,x+1/4,-z+3/4'
'x,-y,-z'
'-x,y,z'
'-y+1/4,-x+1/4,-z+3/4'
'y+1/4,x+1/4,z+3/4'
'-x+1/2,y,-z+1/2'
'x+1/2,-y,z+1/2'
'y+1/4,x+3/4,-z+1/4'
'-y+1/4,-x+3/4,z+1/4'
'x+1/2,y+1/2,z+1/2'
'-x+1/2,-y+1/2,-z+1/2'
'-y+3/4,x+1/4,z+3/4'
'y+3/4,-x+1/4,-z+3/4'
'-x,-y+1/2,z'
'x,y+1/2,-z'
'y+3/4,-x+3/4,z+1/4'
'-y+3/4,x+3/4,-z+1/4'
'x+1/2,-y+1/2,-z+1/2'
'-x+1/2,y+1/2,z+1/2'
'-y+3/4,-x+3/4,-z+1/4'
'y+3/4,x+3/4,z+1/4'
'-x,y+1/2,-z'
'x,-y+1/2,z'
'y+3/4,x+1/4,-z+3/4'
'-y+3/4,-x+1/4,z+3/4'
loop_
_atom_site_label
_atom_site_fract_x
_atom_site_fract_y
_atom_site_fract_z
_atom_site_occupancy
La1 0.000 0.250 0.375 1
Ga1 0.000 0.250 0.875 1
Ga2 0.121 0.047 0.677 1
Pd1 0.000 0.000 0.000 1
```

Output
E_form	-4.7	eV/f.u.
E_tot	-3.94	eV/atom

***

CaH4Se2O9 | GGA-PBE | relaxed

Cell and atoms, written as CIF:
```
data_CaH4Se2O9
_chemical_formula_sum 'Ca4 H16 Se8 O36'
_cell_length_a 5.889
_cell_length_b 15.607
_cell_length_c 8.254
_cell_angle_alpha 90.00
_cell_angle_beta 92.51
_cell_angle_gamma 90.00
_space_group_name_H-M_alt 'P 1 21/c 1'
_space_group_IT_number 14
loop_
_space_group_symop_operation_xyz
'x,y,z'
'-x,-y,-z'
'-x,y+1/2,-z+1/2'
'x,-y+1/2,z+1/2'
loop_
_atom_site_label
_atom_site_fract_x
_atom_site_fract_y
_atom_site_fract_z
_atom_site_occupancy
Ca1 0.218 0.102 0.074 1
H1 0.143 0.203 0.499 1
H2 0.145 0.208 0.688 1
H3 0.258 0.514 0.967 1
H4 0.494 0.201 0.602 1
Se1 0.236 0.576 0.224 1
Se2 0.286 0.629 0.709 1
O1 0.007 0.636 0.188 1
O2 0.031 0.663 0.644 1
O3 0.194 0.525 0.397 1
O4 0.224 0.229 0.592 1
O5 0.241 0.008 0.582 1
O6 0.277 0.526 0.762 1
O7 0.337 0.685 0.890 1
O8 0.477 0.629 0.226 1
O9 0.497 0.653 0.593 1
```

Output
E_tot	-5.32	eV/atom